Record 1
Material: Na3TeI
Method: DFT, PBE
State: relaxed

a b c (Å): 8.694 8.705 8.705
angles (deg): 87.91 89.12 89.12
Sites, in units of the cell vectors:
I: 0.250 0.739 0.261
I: 0.750 0.636 0.364
I: 0.750 0.261 0.739
I: 0.250 0.364 0.636
Na: 0.673 0.951 0.589
Na: 0.435 0.167 0.935
Na: 0.915 0.308 0.411
Na: 0.935 0.935 0.167
Na: 0.173 0.589 0.951
Na: 0.827 0.411 0.049
Na: 0.415 0.411 0.308
Na: 0.327 0.049 0.411
Na: 0.585 0.589 0.692
Na: 0.565 0.833 0.065
Na: 0.065 0.065 0.833
Na: 0.085 0.692 0.589
Te: 0.141 0.250 0.135
Te: 0.359 0.865 0.750
Te: 0.859 0.750 0.865
Te: 0.641 0.135 0.250

Values from the calculation:
Polymorph energy (0 for the lowest one) = 2.3 kJ per mole of atoms
Magnetization = 0.000 Bohr magnetons per cell

---

Record 2
Material: Na2TeI2
Method: DFT, PBE
State: relaxed

a b c (Å): 6.224 6.224 6.608
angles (deg): 61.90 61.90 90.00
Sites, in units of the cell vectors:
Na: 0.750 0.250 0.500
Na: 0.250 0.750 0.500
I: 0.691 0.691 0.618
I: 0.309 0.309 0.382
Te: 0.000 0.000 0.000

Values from the calculation:
Polymorph energy (0 for the lowest one) = 0.0 kJ per mole of atoms
Magnetization = 0.000 Bohr magnetons per cell

---

Record 3
Material: Na2TeI
Method: DFT, PBE
State: relaxed

a b c (Å): 3.811 3.811 8.488
angles (deg): 90.00 90.00 90.00
Sites, in units of the cell vectors:
I: 0.500 0.500 0.000
Te: 0.500 0.500 0.500
Na: 0.000 0.000 0.238
Na: 0.000 0.000 0.762

Values from the calculation:
Polymorph energy (0 for the lowest one) = 1.4 kJ per mole of atoms
Magnetization = 0.000 Bohr magnetons per cell

---

Record 4
Material: NaTiTeI2
Method: DFT, PBE
State: relaxed

a b c (Å): 5.806 5.806 5.346
angles (deg): 90.00 90.00 90.00
Sites, in units of the cell vectors:
I: 0.500 0.000 0.000
I: 0.000 0.500 0.000
Ti: 0.000 0.000 0.000
Te: 0.000 0.000 0.500
Na: 0.500 0.500 0.500

Values from the calculation:
Polymorph energy (0 for the lowest one) = 0.0 kJ per mole of atoms
Magnetization = 1.004 Bohr magnetons per cell

---

Record 5
Material: NaTiTe2I
Method: DFT, PBE
State: relaxed

a b c (Å): 5.336 5.336 5.989
angles (deg): 90.00 90.00 90.00
Sites, in units of the cell vectors:
Na: 0.500 0.500 0.500
Ti: 0.000 0.000 0.000
Te: 0.000 0.500 0.000
Te: 0.500 0.000 0.000
I: 0.000 0.000 0.500

Values from the calculation:
Polymorph energy (0 for the lowest one) = 0.0 kJ per mole of atoms
Magnetization = 0.349 Bohr magnetons per cell

---

Record 6
Material: NaTlTe2I
Method: DFT, PBE
State: relaxed

a b c (Å): 5.796 5.796 6.519
angles (deg): 90.00 90.00 90.00
Sites, in units of the cell vectors:
Na: 0.500 0.500 0.500
Tl: 0.000 0.000 0.000
Te: 0.000 0.500 0.000
Te: 0.500 0.000 0.000
I: 0.000 0.000 0.500

Values from the calculation:
Polymorph energy (0 for the lowest one) = 0.0 kJ per mole of atoms
Magnetization = 0.679 Bohr magnetons per cell

---

Record 7
Material: NaTl2TeI6
Method: DFT, PBE
State: relaxed

a b c (Å): 7.946 8.688 12.716
angles (deg): 90.00 97.20 90.00
Sites, in units of the cell vectors:
I: 0.316 0.669 0.076
I: 0.184 0.169 0.424
I: 0.684 0.331 0.924
I: 0.629 0.028 0.240
I: 0.331 0.702 0.443
I: 0.831 0.798 0.943
I: 0.669 0.298 0.557
I: 0.871 0.528 0.260
I: 0.816 0.831 0.576
I: 0.371 0.972 0.760
I: 0.169 0.202 0.057
I: 0.129 0.472 0.740
Te: 0.000 0.500 0.000
Te: 0.500 0.000 0.500
Tl: 0.476 0.389 0.274
Tl: 0.976 0.111 0.774
Tl: 0.024 0.889 0.226
Tl: 0.524 0.611 0.726
Na: 0.000 0.500 0.500
Na: 0.500 0.000 0.000

Values from the calculation:
Electronic total energy = -2.35 eV per atom
Magnetization = 2.012 Bohr magnetons per cell

---

Record 8
Material: NaTlTeI2
Method: DFT, PBE
State: relaxed

a b c (Å): 6.296 6.296 5.781
angles (deg): 90.00 90.00 90.00
Sites, in units of the cell vectors:
Na: 0.500 0.500 0.500
I: 0.500 0.000 0.000
I: 0.000 0.500 0.000
Tl: 0.000 0.000 0.000
Te: 0.000 0.000 0.500

Values from the calculation:
Polymorph energy (0 for the lowest one) = 0.0 kJ per mole of atoms
Magnetization = 0.571 Bohr magnetons per cell

---

Record 9
Material: NaVTeI2
Method: DFT, PBE
State: relaxed

a b c (Å): 5.818 5.818 5.194
angles (deg): 90.00 90.00 90.00
Sites, in units of the cell vectors:
I: 0.500 0.000 0.000
I: 0.000 0.500 0.000
V: 0.000 0.000 0.000
Te: 0.000 0.000 0.500
Na: 0.500 0.500 0.500

Values from the calculation:
Polymorph energy (0 for the lowest one) = 0.0 kJ per mole of atoms
Magnetization = 1.994 Bohr magnetons per cell

---

Record 10
Material: NaVTeI2
Method: DFT, PBE
State: relaxed

a b c (Å): 5.681 5.681 5.831
angles (deg): 90.00 90.00 90.00
Sites, in units of the cell vectors:
V: 0.500 0.500 0.500
I: 0.500 0.000 0.000
I: 0.000 0.500 0.000
Te: 0.000 0.000 0.500
Na: 0.000 0.000 0.000

Values from the calculation:
Polymorph energy (0 for the lowest one) = 91.2 kJ per mole of atoms
Magnetization = 2.004 Bohr magnetons per cell

---

Record 11
Material: NaYTeI2
Method: DFT, PBE
State: relaxed

a b c (Å): 6.085 6.085 5.911
angles (deg): 90.00 90.00 90.00
Sites, in units of the cell vectors:
Te: 0.000 0.000 0.500
Na: 0.500 0.500 0.500
I: 0.000 0.500 0.000
I: 0.500 0.000 0.000
Y: 0.000 0.000 0.000

Values from the calculation:
Polymorph energy (0 for the lowest one) = 0.0 kJ per mole of atoms
Magnetization = 0.000 Bohr magnetons per cell

---

Record 12
Material: NaYTe2I
Method: DFT, PBE
State: relaxed

a b c (Å): 5.887 5.887 6.162
angles (deg): 90.00 90.00 90.00
Sites, in units of the cell vectors:
I: 0.000 0.000 0.500
Y: 0.000 0.000 0.000
Te: 0.000 0.500 0.000
Te: 0.500 0.000 0.000
Na: 0.500 0.500 0.500

Values from the calculation:
Polymorph energy (0 for the lowest one) = 0.0 kJ per mole of atoms
Magnetization = 0.000 Bohr magnetons per cell

---

Record 13
Material: NaYTeI2
Method: DFT, PBE
State: relaxed

a b c (Å): 5.446 5.446 5.980
angles (deg): 90.00 90.00 90.00
Sites, in units of the cell vectors:
Y: 0.500 0.500 0.500
Na: 0.000 0.000 0.000
I: 0.000 0.500 0.000
I: 0.500 0.000 0.000
Te: 0.000 0.000 0.500

Values from the calculation:
Polymorph energy (0 for the lowest one) = 69.1 kJ per mole of atoms
Magnetization = 0.000 Bohr magnetons per cell

---

Record 14
Material: NaZnTeI2
Method: DFT, PBE
State: relaxed

a b c (Å): 5.988 5.988 6.036
angles (deg): 90.00 90.00 90.00
Sites, in units of the cell vectors:
Te: 0.000 0.000 0.500
I: 0.000 0.500 0.000
I: 0.500 0.000 0.000
Na: 0.000 0.000 0.000
Zn: 0.500 0.500 0.500

Values from the calculation:
Polymorph energy (0 for the lowest one) = 53.7 kJ per mole of atoms
Magnetization = 2.999 Bohr magnetons per cell

---

Record 15
Material: NaZnTeI2
Method: DFT, PBE
State: relaxed

a b c (Å): 5.848 5.848 5.299
angles (deg): 90.00 90.00 90.00
Sites, in units of the cell vectors:
Te: 0.000 0.000 0.500
I: 0.500 0.000 0.000
I: 0.000 0.500 0.000
Zn: 0.000 0.000 0.000
Na: 0.500 0.500 0.500

Values from the calculation:
Polymorph energy (0 for the lowest one) = 0.0 kJ per mole of atoms
Magnetization = 0.000 Bohr magnetons per cell

---

Record 16
Material: NaZrTe2I
Method: DFT, PBE
State: relaxed

a b c (Å): 5.647 5.647 5.921
angles (deg): 90.00 90.00 90.00
Sites, in units of the cell vectors:
Te: 0.500 0.000 0.000
Te: 0.000 0.500 0.000
I: 0.000 0.000 0.500
Na: 0.500 0.500 0.500
Zr: 0.000 0.000 0.000

Values from the calculation:
Polymorph energy (0 for the lowest one) = 0.0 kJ per mole of atoms
Magnetization = 0.000 Bohr magnetons per cell

---

Record 17
Material: NaThI5
Method: DFT, PBE
State: relaxed

a b c (Å): 8.728 8.728 12.233
angles (deg): 68.21 68.21 91.56
Sites, in units of the cell vectors:
I: 0.828 0.296 0.013
I: 0.064 0.936 0.250
I: 0.236 0.340 0.335
I: 0.764 0.660 0.665
I: 0.296 0.828 0.513
I: 0.340 0.236 0.835
I: 0.704 0.172 0.487
I: 0.660 0.764 0.165
I: 0.172 0.704 0.987
I: 0.936 0.064 0.750
Th: 0.000 0.000 0.500
Th: 0.000 0.000 0.000
Na: 0.372 0.628 0.750
Na: 0.628 0.372 0.250

Values from the calculation:
Electronic total energy = -3.54 eV per atom
Magnetization = 0.000 Bohr magnetons per cell

---

Record 18
Material: NaThI4
Method: DFT, PBE
State: relaxed

a b c (Å): 7.025 7.025 8.855
angles (deg): 113.37 113.37 90.00
Sites, in units of the cell vectors:
I: 0.877 0.401 0.258
I: 0.143 0.123 0.742
I: 0.599 0.619 0.742
I: 0.381 0.857 0.258
Na: 0.750 0.250 0.500
Th: 0.500 0.500 0.000

Values from the calculation:
Polymorph energy (0 for the lowest one) = 24.7 kJ per mole of atoms
Magnetization = 1.006 Bohr magnetons per cell

---

Record 19
Material: NaTh2I8
Method: DFT, PBE
State: relaxed

a b c (Å): 8.937 8.428 8.428
angles (deg): 55.12 72.82 72.82
Sites, in units of the cell vectors:
I: 0.625 0.266 0.266
I: 0.375 0.734 0.734
I: 0.714 0.751 0.240
I: 0.286 0.249 0.760
I: 0.116 0.281 0.281
I: 0.884 0.719 0.719
I: 0.286 0.760 0.249
I: 0.714 0.240 0.751
Th: 0.567 0.872 0.872
Th: 0.433 0.128 0.128
Na: 0.000 0.000 0.000

Values from the calculation:
Electronic total energy = -3.72 eV per atom
Magnetization = 1.000 Bohr magnetons per cell

---

Record 20
Material: Na2ThI6
Method: DFT, PBE
State: relaxed

a b c (Å): 7.629 7.629 14.071
angles (deg): 90.00 90.00 90.00
Sites, in units of the cell vectors:
I: 0.303 0.303 0.159
I: 0.213 0.787 0.000
I: 0.803 0.197 0.659
I: 0.197 0.803 0.341
I: 0.303 0.303 0.841
I: 0.287 0.287 0.500
I: 0.697 0.697 0.159
I: 0.697 0.697 0.841
I: 0.713 0.713 0.500
I: 0.787 0.213 0.000
I: 0.803 0.197 0.341
I: 0.197 0.803 0.659
Na: 0.000 0.000 0.834
Na: 0.500 0.500 0.666
Na: 0.500 0.500 0.334
Na: 0.000 0.000 0.166
Th: 0.500 0.500 0.000
Th: 0.000 0.000 0.500

Values from the calculation:
Polymorph energy (0 for the lowest one) = 1.4 kJ per mole of atoms
Magnetization = 0.000 Bohr magnetons per cell

---

Record 21
Material: Na3ThI7
Method: DFT, PBE
State: relaxed

a b c (Å): 8.405 8.405 8.527
angles (deg): 67.64 67.64 68.39
Sites, in units of the cell vectors:
I: 0.850 0.850 0.756
I: 0.316 0.867 0.770
I: 0.147 0.600 0.281
I: 0.600 0.147 0.281
I: 0.867 0.316 0.770
I: 0.126 0.126 0.150
I: 0.664 0.664 0.272
Na: 0.563 0.563 0.006
Na: 0.810 0.248 0.460
Na: 0.248 0.810 0.460
Th: 0.934 0.934 0.045

Values from the calculation:
Electronic total energy = -3.23 eV per atom
Magnetization = 0.000 Bohr magnetons per cell

---

Record 22
Material: Na2ThI6
Method: DFT, PBE
State: relaxed

a b c (Å): 7.557 8.007 13.611
angles (deg): 90.05 90.00 90.00
Sites, in units of the cell vectors:
I: 0.763 0.838 0.659
I: 0.233 0.684 0.500
I: 0.263 0.662 0.841
I: 0.767 0.838 0.340
I: 0.233 0.162 0.660
I: 0.267 0.184 0.000
I: 0.733 0.816 0.000
I: 0.767 0.316 0.500
I: 0.237 0.162 0.341
I: 0.737 0.338 0.159
I: 0.733 0.338 0.840
I: 0.267 0.662 0.160
Th: 0.500 0.500 0.000
Th: 0.000 0.000 0.500
Na: 0.501 0.001 0.173
Na: 0.999 0.501 0.673
Na: 0.499 0.999 0.827
Na: 0.001 0.499 0.327

Values from the calculation:
Polymorph energy (0 for the lowest one) = 0.0 kJ per mole of atoms
Magnetization = 0.000 Bohr magnetons per cell

---

Record 23
Material: NaThI4
Method: DFT, PBE
State: relaxed

a b c (Å): 4.131 8.029 8.208
angles (deg): 89.14 90.00 90.00
Sites, in units of the cell vectors:
Na: 0.500 0.000 0.500
I: 0.500 0.755 0.829
I: 0.500 0.245 0.171
I: 0.000 0.227 0.690
I: 0.000 0.773 0.310
Th: 0.000 0.000 0.000

Values from the calculation:
Polymorph energy (0 for the lowest one) = 0.0 kJ per mole of atoms
Magnetization = 0.002 Bohr magnetons per cell

---

Record 24
Material: NaThI2
Method: DFT, PBE
State: relaxed

a b c (Å): 3.916 3.916 11.787
angles (deg): 80.44 80.44 60.00
Sites, in units of the cell vectors:
Th: 0.500 0.500 0.500
I: 0.900 0.900 0.300
I: 0.100 0.100 0.700
Na: 0.000 0.000 0.000

Values from the calculation:
Electronic total energy = -3.72 eV per atom
Magnetization = 0.000 Bohr magnetons per cell